1.
The following is a PBE calculation of a relaxed structure of Ho2Th2Sc, from Alexandria via LeMat-Bulk.

Cell lengths 6.9236, 5.4840, 16.1882 Å; angles 90.00, 90.00, 90.00 degrees
Space group Pnma (No. 62)
Unique sites:
Ho (0.1228, 0.2500, 0.1477) [4 per cell]
Ho (0.1261, 0.7500, 0.4598) [4 per cell]
Th (0.1254, 0.2500, 0.3465) [4 per cell]
Th (0.1257, 0.2500, 0.7499) [4 per cell]
Sc (0.1251, 0.7500, 0.0339) [4 per cell]

Calculated values
* formation enthalpy at 0 K: 0.100 eV per atom
* energy: -0.2192 Ha/atom
* ΔE to the lowest computed polymorph: 0.049 eV per atom

2.
The following is a PBE calculation of a relaxed structure of GdGeIr, from Alexandria via LeMat-Bulk.

Cell lengths 7.0411, 4.4138, 7.5270 Å; angles 90.00, 90.00, 90.00 degrees
Space group Pnma (No. 62)
Unique sites:
Gd (0.0135, 0.2500, 0.1987) [4 per cell]
Ge (0.1795, 0.2500, 0.5837) [4 per cell]
Ir (0.2047, 0.7500, 0.4092) [4 per cell]

Calculated values
* formation enthalpy at 0 K: -0.887 eV per atom
* energy: -0.3702 Ha/atom

3.
The following is a PBE calculation of a relaxed structure of Mn2Tc2Rh, from Alexandria via LeMat-Bulk.

Cell lengths 6.8899, 6.8899, 2.7835 Å; angles 90.00, 90.00, 90.00 degrees
Space group P4/mbm (No. 127)
Unique sites:
Mn (0.1302, 0.3698, 0.0000) [4 per cell]
Tc (0.1688, 0.6688, 0.5000) [4 per cell]
Rh (0.0000, 0.0000, 0.0000) [2 per cell]

Calculated values
* formation enthalpy at 0 K: 0.087 eV per atom
* energy: -0.3380 Ha/atom
* ΔE to the lowest computed polymorph: 0.000 eV per atom

4.
The following is a PBE calculation of a relaxed structure of La3PPbCl, from Alexandria via LeMat-Bulk.

Cell lengths 8.1298, 4.6120, 10.3619 Å; angles 90.00, 110.46, 90.00 degrees
Space group P2_1/m (No. 11)
Unique sites:
La (0.0319, 0.2500, 0.3460) [2 per cell]
La (0.2177, 0.2500, 0.9788) [2 per cell]
La (0.4255, 0.7500, 0.6302) [2 per cell]
P (0.1936, 0.2500, 0.6368) [2 per cell]
Pb (0.2418, 0.7500, 0.2240) [2 per cell]
Cl (0.3735, 0.7500, 0.8976) [2 per cell]

Calculated values
* formation energy without anion corrections: -1.19 eV/atom
* energy: -0.2015 Ha/atom